! PBE DyMg, optimized geometry; values from VASP
&SYSTEM
  ibrav = 0, nat = 2, ntyp = 2
/
ATOMIC_SPECIES
Mg 24.30 Mg.upf
Dy 162.50 Dy.upf
CELL_PARAMETERS angstrom
-1.8385 -0.3588 3.2862
3.2993 0.0355 1.8496
-0.2063 3.7653 0.2957
ATOMIC_POSITIONS crystal
Mg 0.5000 0.5000 0.5000
Dy 0.0000 0.0000 0.0000
! DFT total energy = -6.30 eV/f.u.
! symmetry = No. 221